1.
12
Lattice="6.6609 0.0000 0.0000 0.0000 6.6609 0.0000 0.0000 0.0000 5.4247" Properties=species:S:1:pos:R:3 comment="Zr4CoAg GGA-PBE relaxed" polymorph_energy_mev_per_atom=0 final_energy_ev_per_atom=-7.4942 formation_enthalpy_0k_ev_per_atom=-0.1359 m_tot_mub_per_fu=0.00 pbc="T T T"
Zr 0.9548 2.1399 0.0000
Zr 0.9548 4.5210 2.7124
Zr 2.1399 0.9548 2.7124
Zr 2.1399 5.7061 0.0000
Zr 4.5210 0.9548 0.0000
Zr 4.5210 5.7061 2.7124
Zr 5.7061 2.1399 2.7124
Zr 5.7061 4.5210 0.0000
Co 0.0000 0.0000 1.3562
Co 0.0000 0.0000 4.0685
Ag 3.3305 3.3305 1.3562
Ag 3.3305 3.3305 4.0685

2.
4
Lattice="3.1861 0.0000 0.0000 0.0000 3.1222 0.0000 -0.3274 0.0000 7.3579" Properties=species:S:1:pos:R:3 comment="Zr2CoAg GGA-PBE relaxed" polymorph_energy_mev_per_atom=0 final_energy_ev_per_atom=-6.9001 formation_enthalpy_0k_ev_per_atom=-0.1368 m_tot_mub_per_fu=0.00 pbc="T T T"
Zr -0.0042 0.0000 2.0905
Zr 2.8629 0.0000 5.2673
Co 1.4294 1.5611 3.6789
Ag 1.5930 1.5611 0.0000